La2Sm5Er2: relaxed, GGA-PBE.

abc: 3.6334 6.2594 14.0690
angles: 85.69 82.58 73.24
With the nearest neighbours (Å) after each atom.
Space group P-1 (No. 2)
Symmetry-distinct sites (fractional):
La (0.1690, 0.3303, 0.3313)  7 Sm 3.59-3.69, 3 Er 3.62-3.63, 2 La 3.63
Sm (0.2782, 0.5536, 0.8904)  3 Er 3.59-3.64, 7 Sm 3.59-3.63, 2 La 3.63
Sm (0.3895, 0.7793, 0.4418)  5 La 3.59-3.69, 2 Er 3.63, 5 Sm 3.63-3.66
Sm (0.5000, 0.0000, 0.0000)  8 Sm 3.60-3.63, 4 Er 3.60
Er (0.0533, 0.1140, 0.7806)  7 Sm 3.59-3.64, 3 La 3.62-3.63, 2 Er 3.63

Calculated values
**Total moment**: 0.002 μB/f.u.
**Relative energy among the computed polymorphs**: 0.0 meV per atom
**ΔE_f**: 0.017 eV per atom